1.
# Tb4DySc3Se8

A geometry-optimized Tb4DySc3Se8 structure (PBE, Alexandria via LeMat-Bulk).

Cell: 8.0175 8.0175 19.7266 Å, 90.00 90.00 120.00°
With the nearest neighbours (Å) after each atom.
Space group R-3m (No. 166, hexagonal axes)
Inequivalent atoms, fractional coordinates:
Tb 0.0000 0.0000 0.0000  6 Se 2.85
Tb 0.0000 0.5000 0.0000  6 Se 2.91
Dy 0.0000 0.0000 0.5000  6 Se 2.83
Sc 0.0000 0.5000 0.5000  6 Se 2.77
Se 0.0000 0.0000 0.2442  3 Sc 2.77, 3 Tb 2.91
Se 0.0070 0.5035 0.7541  2 Sc 2.77, 1 Dy 2.83, 3 Tb 2.85-2.91

Computed properties:
Total DFT energy (no corrections): -6.063 eV per atom
Fermi-level density of states: 12.0 states/eV/f.u.
Formation energy without anion corrections: -1688 meV per atom

***

2.
# LiMgGa2

A geometry-optimized LiMgGa2 structure (PBE, Alexandria via LeMat-Bulk).

Cell: 2.9662 5.1124 11.0162 Å, 90.00 90.00 90.00°
With the nearest neighbours (Å) after each atom.
Space group Immm (No. 71)
Inequivalent atoms, fractional coordinates:
Li 0.0000 0.0000 0.0000  2 Ga 2.66, 4 Mg 2.96, 2 Li 2.97
Mg 0.0000 0.0000 0.5000  2 Ga 2.85, 4 Li 2.96, 2 Mg 2.97
Ga 0.0000 0.0000 0.2411  1 Li 2.66, 1 Mg 2.85, 6 Ga 2.96-2.97

Computed properties:
Total DFT energy (no corrections): -2.290 eV per atom
Fermi-level density of states: 1.4 states/eV/f.u.
ΔH_f (0 K): 9.7 kJ per mole of atoms

***

3.
# YInSb2

A geometry-optimized YInSb2 structure (PBE, Alexandria via LeMat-Bulk).

Cell: 4.4299 4.4401 10.9115 Å, 90.00 90.00 90.00°
With the nearest neighbours (Å) after each atom.
Space group Imm2 (No. 44)
Inequivalent atoms, fractional coordinates:
Y 0.0000 0.0000 0.0000  6 Sb 3.14-3.51, 2 In 3.51
In 0.0000 0.5000 0.7498  4 Sb 3.14, 2 Y 3.51
Sb 0.0000 0.0000 0.4999  4 Y 3.14
Sb 0.0000 0.5000 0.2504  4 In 3.14, 2 Y 3.51

Computed properties:
Total DFT energy (no corrections): -4.818 eV per atom
Fermi-level density of states: 2.6 states/eV/f.u.
Formation energy without anion corrections: -457 meV per atom

***

Look up the total DFT energy (no corrections) of the second one. -2.290 eV per atom